Computed, not measured: a geometry-optimized Na3Pr2FeO6 structure at the PBE+U level of DFT.

Values from the calculation:
total DFT energy (no corrections) = -6.254 eV/atom
ρ = 4.81 g/cm³
space group = C2/m, No. 12

a = 5.990 Å, b = 5.990 Å, c = 5.910 Å
α = 99.04°, β = 99.04°, γ = 120.46°
Sites, in units of the cell vectors:
Na: 0.000 0.000 0.000
Na: 0.355 0.645 0.000
Na: 0.645 0.355 0.000
Pr: 0.168 0.832 0.500
Pr: 0.832 0.168 0.500
Fe: 0.500 0.500 0.500
O: 0.136 0.433 0.288
O: 0.263 0.263 0.707
O: 0.433 0.136 0.288
O: 0.567 0.864 0.712
O: 0.737 0.737 0.293
O: 0.864 0.567 0.712